First-principles (PBE-GGA) data for an optimized crystal structure of AlTe2W, as listed in Alexandria.

Values from the calculation:
space-group type: R3m
VASP energy: -22.382 eV for the cell shown
uncorrected formation energy: 0.15 eV/atom
density of states at the Fermi level: 0.6090 states/eV/atom
total magnetization: 0.00 μB/cell

Lattice parameters (Å, degrees): 10.390 10.390 10.390 18.17 18.17 18.17
Atoms (fractional coordinates):
Al: 0.000 0.000 0.000
Te: 0.539 0.539 0.539
Te: 0.742 0.742 0.742
W: 0.268 0.268 0.268